No. 1
Density functional theory data (PBE) for a geometry-optimized KZrCd2 structure.

Values from the calculation:
V: 111 Å³ per cell
ΔE_f: 0.0973 eV/atom
total magnetic moment: 0.00 μB/atom
space-group type: Pmmm
energy relative to the lowest polymorph listed for this composition: 0.025 eV per atom

```
data_KZrCd2
_symmetry_space_group_name_H-M 'P 1'
_symmetry_Int_Tables_number 1
_symmetry_space_group_name_Hall 'P 1'
_cell_length_a 3.138
_cell_length_b 4.241
_cell_length_c 8.364
_cell_angle_alpha 90.00
_cell_angle_beta 90.00
_cell_angle_gamma 90.00
loop_
_atom_site_label
_atom_site_type_symbol
_atom_site_fract_x
_atom_site_fract_y
_atom_site_fract_z
K1 K 0.000 0.000 0.000
Zr1 Zr 0.000 0.000 0.500
Cd1 Cd 0.500 0.500 0.307
Cd2 Cd 0.500 0.500 0.693
```

No. 2
Density functional theory data (PBE) for a geometry-optimized K2ZrCd structure.

Values from the calculation:
V: 156 Å³ per cell
ΔE_f: 0.5119 eV/atom
total magnetic moment: 0.00 μB/atom
space-group type: Cm

```
data_K2ZrCd
_symmetry_space_group_name_H-M 'P 1'
_symmetry_Int_Tables_number 1
_symmetry_space_group_name_Hall 'P 1'
_cell_length_a 5.351
_cell_length_b 5.351
_cell_length_c 9.589
_cell_angle_alpha 92.68
_cell_angle_beta 92.68
_cell_angle_gamma 34.66
loop_
_atom_site_label
_atom_site_type_symbol
_atom_site_fract_x
_atom_site_fract_y
_atom_site_fract_z
K1 K 0.000 0.000 0.000
K2 K 0.235 0.235 0.627
Zr1 Zr 0.475 0.475 0.361
Cd1 Cd 0.741 0.741 0.251
```

No. 3
Density functional theory data (PBE) for a geometry-optimized KZrCd2 structure.

Values from the calculation:
V: 104 Å³ per cell
ΔE_f: 0.1873 eV/atom
total magnetic moment: 0.00 μB/atom
space-group type: R-3m
energy relative to the lowest polymorph listed for this composition: 0.115 eV per atom

```
data_KZrCd2
_symmetry_space_group_name_H-M 'P 1'
_symmetry_Int_Tables_number 1
_symmetry_space_group_name_Hall 'P 1'
_cell_length_a 11.677
_cell_length_b 11.677
_cell_length_c 11.677
_cell_angle_alpha 15.87
_cell_angle_beta 15.87
_cell_angle_gamma 15.87
loop_
_atom_site_label
_atom_site_type_symbol
_atom_site_fract_x
_atom_site_fract_y
_atom_site_fract_z
K1 K 0.000 0.000 0.000
Zr1 Zr 0.500 0.500 0.500
Cd1 Cd 0.243 0.243 0.243
Cd2 Cd 0.757 0.757 0.757
```

No. 4
Density functional theory data (PBE) for a geometry-optimized La3Cd structure.

Values from the calculation:
V: 130 Å³ per cell
ΔE_f: -0.1254 eV/atom
total magnetic moment: 0.00 μB/atom
space-group type: Pmm2

```
data_La3Cd
_symmetry_space_group_name_H-M 'P 1'
_symmetry_Int_Tables_number 1
_symmetry_space_group_name_Hall 'P 1'
_cell_length_a 3.753
_cell_length_b 5.790
_cell_length_c 5.974
_cell_angle_alpha 90.00
_cell_angle_beta 90.00
_cell_angle_gamma 90.00
loop_
_atom_site_label
_atom_site_type_symbol
_atom_site_fract_x
_atom_site_fract_y
_atom_site_fract_z
La1 La 0.000 0.000 0.000
La2 La 0.000 0.500 0.432
La3 La 0.500 0.500 0.884
Cd1 Cd 0.500 0.000 0.513
```

No. 5
Density functional theory data (PBE) for a geometry-optimized LaCd structure.

Values from the calculation:
V: 62 Å³ per cell
ΔE_f: -0.1198 eV/atom
total magnetic moment: 0.00 μB/atom
space-group type: P-6m2

```
data_LaCd
_symmetry_space_group_name_H-M 'P 1'
_symmetry_Int_Tables_number 1
_symmetry_space_group_name_Hall 'P 1'
_cell_length_a 3.678
_cell_length_b 3.678
_cell_length_c 5.328
_cell_angle_alpha 90.00
_cell_angle_beta 90.00
_cell_angle_gamma 120.00
loop_
_atom_site_label
_atom_site_type_symbol
_atom_site_fract_x
_atom_site_fract_y
_atom_site_fract_z
La1 La 0.000 0.000 0.000
Cd1 Cd 0.667 0.333 0.500
```

No. 6
Density functional theory data (PBE) for a geometry-optimized La2Cd structure.

Values from the calculation:
V: 92 Å³ per cell
ΔE_f: -0.1526 eV/atom
total magnetic moment: 0.00 μB/atom
space-group type: P-3m1

```
data_La2Cd
_symmetry_space_group_name_H-M 'P 1'
_symmetry_Int_Tables_number 1
_symmetry_space_group_name_Hall 'P 1'
_cell_length_a 5.353
_cell_length_b 5.353
_cell_length_c 3.701
_cell_angle_alpha 90.00
_cell_angle_beta 90.00
_cell_angle_gamma 120.00
loop_
_atom_site_label
_atom_site_type_symbol
_atom_site_fract_x
_atom_site_fract_y
_atom_site_fract_z
La1 La 0.333 0.667 0.328
La2 La 0.667 0.333 0.672
Cd1 Cd 0.000 0.000 0.000
```

No. 7
Density functional theory data (PBE) for a geometry-optimized LaCd structure.

Values from the calculation:
V: 742 Å³ per cell
ΔE_f: -0.2527 eV/atom
total magnetic moment: 0.00 μB/atom
space-group type: Pbcm

```
data_LaCd
_symmetry_space_group_name_H-M 'P 1'
_symmetry_Int_Tables_number 1
_symmetry_space_group_name_Hall 'P 1'
_cell_length_a 11.509
_cell_length_b 9.540
_cell_length_c 6.756
_cell_angle_alpha 90.00
_cell_angle_beta 90.00
_cell_angle_gamma 90.00
loop_
_atom_site_label
_atom_site_type_symbol
_atom_site_fract_x
_atom_site_fract_y
_atom_site_fract_z
La1 La 0.116 0.250 0.000
La2 La 0.116 0.250 0.500
La3 La 0.186 0.637 0.250
La4 La 0.186 0.863 0.750
La5 La 0.370 0.046 0.250
La6 La 0.370 0.454 0.750
La7 La 0.630 0.546 0.250
La8 La 0.630 0.954 0.750
La9 La 0.814 0.137 0.250
La10 La 0.814 0.363 0.750
La11 La 0.884 0.750 0.000
La12 La 0.884 0.750 0.500
Cd1 Cd 0.075 0.545 0.750
Cd2 Cd 0.075 0.955 0.250
Cd3 Cd 0.374 0.111 0.750
Cd4 Cd 0.374 0.389 0.250
Cd5 Cd 0.430 0.750 0.000
Cd6 Cd 0.430 0.750 0.500
Cd7 Cd 0.570 0.250 0.000
Cd8 Cd 0.570 0.250 0.500
Cd9 Cd 0.626 0.611 0.750
Cd10 Cd 0.626 0.889 0.250
Cd11 Cd 0.925 0.045 0.750
Cd12 Cd 0.925 0.455 0.250
```

No. 8
Density functional theory data (PBE) for a geometry-optimized LaCd structure.

Values from the calculation:
V: 121 Å³ per cell
ΔE_f: -0.2859 eV/atom
total magnetic moment: 0.00 μB/atom
space-group type: Cmcm

```
data_LaCd
_symmetry_space_group_name_H-M 'P 1'
_symmetry_Int_Tables_number 1
_symmetry_space_group_name_Hall 'P 1'
_cell_length_a 6.733
_cell_length_b 6.733
_cell_length_c 5.089
_cell_angle_alpha 90.00
_cell_angle_beta 90.00
_cell_angle_gamma 148.38
loop_
_atom_site_label
_atom_site_type_symbol
_atom_site_fract_x
_atom_site_fract_y
_atom_site_fract_z
La1 La 0.159 0.841 0.750
La2 La 0.841 0.159 0.250
Cd1 Cd 0.432 0.568 0.750
Cd2 Cd 0.568 0.432 0.250
```